First-principles (PBE) data for a relaxed structure of PmBClF6, as listed in Alexandria.

Unit cell a=5.4432 b=5.4433 c=6.9764 alpha=90.01 beta=90.00 gamma=59.99
Last column: nearest neighbours and their distance in Å.
Positions (direct):
F (0.0851, 0.5778, 0.6360)  1 B 1.64
F (0.5774, 0.0851, 0.3640)  1 B 1.64
F (0.0852, 0.3374, 0.3640)  1 B 1.64
F (0.3374, 0.5774, 0.3640)  1 B 1.64
F (0.5777, 0.3372, 0.6360)  1 B 1.64
F (0.3371, 0.0851, 0.6360)  1 B 1.64
Cl (0.0000, 0.0000, 0.0000)  6 F 3.30
Pm (0.6666, 0.6667, 0.5004)  6 F 2.28-2.29
B (0.3333, 0.3334, 0.4995)  6 F 1.64

Results
For the theoretical density, the calculation gives 2.83 g/cm3. As for the formation energy (no corrections): -22.50 eV per formula unit.

***

First-principles (PBE) data for a relaxed structure of AlSnPO2, as listed in Alexandria.

Unit cell a=3.7118 b=3.7118 c=5.1893 alpha=90.00 beta=90.00 gamma=90.00
Last column: nearest neighbours and their distance in Å.
Positions (direct):
Sn (0.5000, 0.5000, 0.5000)  4 P 2.62
P (0.0000, 0.0000, 0.5000)  2 Al 2.59, 4 Sn 2.62
O (0.0000, 0.5000, 0.0000)  2 Al 1.86
O (0.5000, 0.0000, 0.0000)  2 Al 1.86
Al (0.0000, 0.0000, 0.0000)  4 O 1.86

Results
Its offset from the most stable computed form is 0 meV per atom. For the theoretical density, the calculation gives 4.85 g/cm3. As for the formation energy (no corrections): -4.98 eV per formula unit.

***

First-principles (PBE) data for a relaxed structure of Ge3OsRh, as listed in Alexandria.

Unit cell a=4.7281 b=4.7281 c=4.7281 alpha=90.00 beta=90.00 gamma=90.00
Last column: nearest neighbours and their distance in Å.
Positions (direct):
Ge (0.5000, 0.0000, 0.0000)  2 Os 2.36
Ge (0.0000, 0.5000, 0.0000)  2 Os 2.36
Ge (0.0000, 0.0000, 0.5000)  2 Os 2.36
Rh (0.5000, 0.5000, 0.5000)  12 Ge 3.34
Os (0.0000, 0.0000, 0.0000)  6 Ge 2.36

Results
For the energy relative to the elements, the calculation gives 716.6 meV per atom. Its offset from the most stable computed form is 0 meV per atom. For the theoretical density, the calculation gives 8.03 g/cm3.

***

First-principles (PBE) data for a relaxed structure of BiCSe2N, as listed in Alexandria.

Unit cell a=6.4171 b=6.4171 c=2.5794 alpha=90.00 beta=90.00 gamma=90.00
Last column: nearest neighbours and their distance in Å.
Positions (direct):
Se (0.5000, 0.0000, 0.0000)  2 Se 2.58
Se (0.0000, 0.5000, 0.0000)  2 Se 2.58
C (0.0000, 0.0000, 0.0000)  2 N 1.29
Bi (0.5000, 0.5000, 0.5000)  2 Bi 2.58
N (0.0000, 0.0000, 0.5000)  2 C 1.29

Results
Its offset from the most stable computed form is 0 meV per atom. For the theoretical density, the calculation gives 6.14 g/cm3. As for the formation energy (no corrections): 4.13 eV per formula unit.

***

> Look up the theoretical density of the first one.

2.83 g/cm3

***

Copy entry 2 word for word.
First-principles (PBE) data for a relaxed structure of AlSnPO2, as listed in Alexandria.

Unit cell a=3.7118 b=3.7118 c=5.1893 alpha=90.00 beta=90.00 gamma=90.00
Last column: nearest neighbours and their distance in Å.
Positions (direct):
Sn (0.5000, 0.5000, 0.5000)  4 P 2.62
P (0.0000, 0.0000, 0.5000)  2 Al 2.59, 4 Sn 2.62
O (0.0000, 0.5000, 0.0000)  2 Al 1.86
O (0.5000, 0.0000, 0.0000)  2 Al 1.86
Al (0.0000, 0.0000, 0.0000)  4 O 1.86

Results
Its offset from the most stable computed form is 0 meV per atom. For the theoretical density, the calculation gives 4.85 g/cm3. As for the formation energy (no corrections): -4.98 eV per formula unit.

***

> What is the theoretical density in the third record?

8.03 g/cm3

***

> Which formula does entry 3 have?

Ge3OsRh